# 1
The following is a DFT calculation (GGA-PBE) of an optimized crystal structure of RbNa2TlSb.

The structure in extended XYZ format:
```
5
Lattice="5.926 0.000 0.000 0.000 5.926 0.000 0.000 0.000 6.451" Properties=species:S:1:pos:R:3 pbc="T T T"
Na 2.963 0.000 0.000
Na 0.000 2.963 0.000
Sb 0.000 0.000 0.000
Rb 2.963 2.963 3.226
Tl 0.000 0.000 3.226
```

N(E_F) = 2.55 states/eV per cell
space group = P4/mmm
volume = 45.31 A^3/atom
formation energy (no corrections) = -0.095 eV per atom

---

# 2
The following is a DFT calculation (GGA-PBE) of an optimized crystal structure of RbNa2Tl2Sb2.

The structure in extended XYZ format:
```
7
Lattice="-0.476 0.647 5.341 2.447 -3.443 3.366 8.610 4.740 2.923" Properties=species:S:1:pos:R:3 pbc="T T T"
Rb 0.000 0.000 0.000
Tl 3.939 0.008 5.812
Na 5.250 -0.457 8.716
Sb 7.832 1.385 8.723
Tl 6.642 1.936 5.819
Sb 2.749 0.560 2.908
Na 5.330 2.401 2.915
```

N(E_F) = 1.14 states/eV per cell
space group = R-3m
volume = 35.26 A^3/atom
formation energy (no corrections) = -0.259 eV per atom

---

# 3
The following is a DFT calculation (GGA-PBE) of an optimized crystal structure of RbNaTl2Sb.

The structure in extended XYZ format:
```
5
Lattice="5.528 0.000 0.000 0.000 4.848 0.000 -2.764 -2.424 6.694" Properties=species:S:1:pos:R:3 pbc="T T T"
Na 0.000 2.424 2.818
Tl 0.000 0.000 0.693
Sb 2.764 2.424 4.412
Tl 2.764 0.000 2.425
Rb 0.000 0.000 5.880
```

N(E_F) = 1.74 states/eV per cell
space group = Imm2
volume = 35.88 A^3/atom
formation energy (no corrections) = -0.215 eV per atom

---

# 4
The following is a DFT calculation (GGA-PBE) of an optimized crystal structure of RbNaTlSb.

The structure in extended XYZ format:
```
4
Lattice="-4.696 2.245 0.888 0.259 -4.846 -2.082 1.295 -0.053 6.986" Properties=species:S:1:pos:R:3 pbc="T T T"
Rb -2.197 0.272 3.397
Sb -3.551 -1.219 0.000
Tl -0.580 -3.016 4.557
Na -0.505 -1.065 0.020
```

space group = R3m
volume = 38.73 A^3/atom
formation energy (no corrections) = -0.316 eV per atom
excess energy over the best structure of this formula in the dataset = 0.000 eV per atom

---

# 5
The following is a DFT calculation (GGA-PBE) of an optimized crystal structure of RbNaZn2Sb2.

The structure in extended XYZ format:
```
6
Lattice="4.565 0.000 0.000 -2.283 3.954 0.000 0.000 0.000 10.135" Properties=species:S:1:pos:R:3 pbc="T T T"
Zn 2.283 1.318 3.016
Sb 2.283 1.318 7.332
Zn 0.000 2.636 7.120
Rb 0.000 0.000 0.000
Sb 0.000 2.636 2.803
Na 0.000 0.000 5.068
```

N(E_F) = 0.00 states/eV per cell
space group = P-3m1
volume = 30.49 A^3/atom
formation energy (no corrections) = -0.351 eV per atom

---

# 6
The following is a DFT calculation (GGA-PBE) of an optimized crystal structure of Rb2NaZnSb2.

The structure in extended XYZ format:
```
12
Lattice="-1.942 -6.757 -2.019 5.157 -0.003 -4.949 3.628 0.244 8.941" Properties=species:S:1:pos:R:3 pbc="T T T"
Sb 7.251 -1.153 2.394
Na 3.868 -0.002 -3.712
Rb 5.548 -3.835 0.622
Rb 3.977 -0.328 4.144
Sb 3.864 -3.962 4.029
Rb 1.294 -2.681 1.350
Zn 0.318 -3.379 -2.247
Sb -0.408 -5.363 -0.422
Sb 2.978 -2.554 -2.057
Rb 2.865 -6.188 -2.172
Na 1.289 -0.001 -1.237
Zn 2.896 -3.381 -4.722
```

N(E_F) = 10.84 states/eV per cell
space group = Ibam
volume = 35.67 A^3/atom
formation energy (no corrections) = -0.346 eV per atom

---

- Which of these has the highest volume?
  RbNa2TlSb

---

- volume of number 5 (RbNaZn2Sb2)?
  30.49 A^3/atom

---

What did the fourth record say?
The following is a DFT calculation (GGA-PBE) of an optimized crystal structure of RbNaTlSb.

The structure in extended XYZ format:
```
4
Lattice="-4.696 2.245 0.888 0.259 -4.846 -2.082 1.295 -0.053 6.986" Properties=species:S:1:pos:R:3 pbc="T T T"
Rb -2.197 0.272 3.397
Sb -3.551 -1.219 0.000
Tl -0.580 -3.016 4.557
Na -0.505 -1.065 0.020
```

space group = R3m
volume = 38.73 A^3/atom
formation energy (no corrections) = -0.316 eV per atom
excess energy over the best structure of this formula in the dataset = 0.000 eV per atom

---

Copy entry 4 word for word.
The following is a DFT calculation (GGA-PBE) of an optimized crystal structure of RbNaTlSb.

The structure in extended XYZ format:
```
4
Lattice="-4.696 2.245 0.888 0.259 -4.846 -2.082 1.295 -0.053 6.986" Properties=species:S:1:pos:R:3 pbc="T T T"
Rb -2.197 0.272 3.397
Sb -3.551 -1.219 0.000
Tl -0.580 -3.016 4.557
Na -0.505 -1.065 0.020
```

space group = R3m
volume = 38.73 A^3/atom
formation energy (no corrections) = -0.316 eV per atom
excess energy over the best structure of this formula in the dataset = 0.000 eV per atom